No. 1
# Ba2AgPt

Ba2AgPt after structural relaxation (PBEsol, Alexandria via LeMat-Bulk).

Computed properties:
SG: Amm2, No. 38
Energy of formation from the pure elements, eV/atom: -0.431
Spin magnetization, Bohr magnetons per cell: 0.00

Cell lengths 4.4621, 4.7107, 6.3094 Å; angles 90.00, 110.71, 90.00 degrees
Fractional positions:
Ag 0.3088 0.0000 0.6177
Ba 0.0126 0.0000 0.0252
Pt 0.4451 0.5000 0.8902
Ba 0.7335 0.5000 0.4670

***

No. 2
# LiSi2Hg

LiSi2Hg after structural relaxation (PBEsol, Alexandria via LeMat-Bulk).

Computed properties:
SG: I4/mmm, No. 139
E_form (uncorrected), meV per atom: 82
Spin magnetization, Bohr magnetons per cell: 0.00

Cell lengths 3.7184, 3.7184, 5.4088 Å; angles 110.10, 110.10, 90.00 degrees
Fractional positions:
Si 0.7500 0.2500 0.5000
Hg 0.0000 0.0000 0.0000
Si 0.2500 0.7500 0.5000
Li 0.5000 0.5000 0.0000

***

No. 3
# CaNiN

CaNiN after structural relaxation (PBEsol, Alexandria via LeMat-Bulk).

Computed properties:
SG: P4_2/mmc, No. 131
E_form (uncorrected), meV per atom: -768
Spin magnetization, Bohr magnetons per cell: 0.00

Cell lengths 3.5090, 3.5090, 6.9662 Å; angles 90.00, 90.00, 90.00 degrees
Fractional positions:
Ni 0.5000 0.5000 0.0000
Ca 0.0000 0.0000 0.7500
Ni 0.5000 0.5000 0.5000
N 0.0000 0.5000 0.0000
Ca 0.0000 0.0000 0.2500
N 0.5000 0.0000 0.5000

***

No. 4
# KAlIn2

KAlIn2 after structural relaxation (PBEsol, Alexandria via LeMat-Bulk).

Computed properties:
SG: Imm2, No. 44
Energy of formation from the pure elements, eV/atom: 0.154
Spin magnetization, Bohr magnetons per cell: 0.00

Cell lengths 5.2322, 5.2542, 5.2411 Å; angles 120.08, 119.94, 90.00 degrees
Fractional positions:
K 0.5001 0.5001 0.0002
In 0.9995 0.9995 0.9989
Al 0.2512 0.7512 0.5023
In 0.7493 0.2493 0.4985

***

No. 5
# Ni3MoS

Ni3MoS after structural relaxation (PBEsol, Alexandria via LeMat-Bulk).

Computed properties:
SG: Pm-3m, No. 221
E_form (uncorrected), meV per atom: 460
Spin magnetization, Bohr magnetons per cell: 3.13

Cell lengths 4.0655, 4.0655, 4.0655 Å; angles 90.00, 90.00, 90.00 degrees
Each line ends with the local moment (μB).
Fractional positions:
S 0.0000 0.0000 0.0000  0.05
Mo 0.5000 0.5000 0.5000  2.36
Ni 0.0000 0.0000 0.5000  0.15
Ni 0.5000 0.0000 0.0000  0.15
Ni 0.0000 0.5000 0.0000  0.15

***

No. 6
# CoW2Cl

CoW2Cl after structural relaxation (PBEsol, Alexandria via LeMat-Bulk).

Computed properties:
SG: P4/mmm, No. 123
E_form (uncorrected), meV per atom: 567
Energy above the most stable polymorph in this dataset, meV per atom: 85
Spin magnetization, Bohr magnetons per cell: 0.65

Cell lengths 2.8605, 2.8605, 6.5634 Å; angles 90.00, 90.00, 90.00 degrees
Each line ends with the local moment (μB).
Fractional positions:
W 0.0000 0.0000 0.7392  0.02
Cl 0.5000 0.5000 0.0000  0.00
W 0.0000 0.0000 0.2608  0.02
Co 0.5000 0.5000 0.5000  0.60

***

No. 7
# Li2VF6

Li2VF6 after structural relaxation (PBEsol, Alexandria via LeMat-Bulk).

Computed properties:
SG: Pc, No. 7
E_form (uncorrected), meV per atom: -2907
Energy above the most stable polymorph in this dataset, meV per atom: 35
Spin magnetization, Bohr magnetons per cell: 2.00

Cell lengths 5.0076, 5.2140, 7.3659 Å; angles 90.00, 90.52, 90.00 degrees
Each line ends with the local moment (μB).
Fractional positions:
F 0.1884 0.9371 0.5610  0.00
Li 0.5071 0.3145 0.2226  0.00
F 0.8977 0.3098 0.7644  0.00
F 0.3007 0.4271 0.9581  0.00
F 0.6482 0.0705 0.4275  0.00
F 0.8097 0.5218 0.0715  0.00
F 0.1352 0.1999 0.2356  0.00
Li 0.9998 0.2448 0.4949  0.00
F 0.8007 0.5729 0.4581  0.00
F 0.1482 0.9295 0.9275  0.00
V 0.9984 0.2366 0.9996  0.96
V 0.4984 0.7634 0.4996  0.96
F 0.3097 0.4782 0.5715  0.00
Li 0.4998 0.7552 0.9949  0.00
F 0.6352 0.8001 0.7356  0.00
F 0.3977 0.6902 0.2644  0.00
Li 0.0071 0.6855 0.7226  0.00
F 0.6884 0.0629 0.0610  0.00

***

No. 8
# ZrNi4Ag

ZrNi4Ag after structural relaxation (PBEsol, Alexandria via LeMat-Bulk).

Computed properties:
SG: F-43m, No. 216
Energy of formation from the pure elements, eV/atom: -0.372
Spin magnetization, Bohr magnetons per cell: 0.00

Cell lengths 4.7662, 4.7662, 4.7662 Å; angles 60.00, 60.00, 60.00 degrees
Fractional positions:
Ni 0.8766 0.3745 0.3745
Ni 0.3745 0.8766 0.3745
Ni 0.3745 0.3745 0.3745
Ni 0.3745 0.3745 0.8766
Ag 0.0000 0.0000 0.0000
Zr 0.7500 0.7500 0.7500

***

No. 9
# CaHgIr2

CaHgIr2 after structural relaxation (PBEsol, Alexandria via LeMat-Bulk).

Computed properties:
SG: Pmm2, No. 25
Energy of formation from the pure elements, eV/atom: 0.033
Spin magnetization, Bohr magnetons per cell: 0.00

Cell lengths 2.8642, 3.8240, 7.0022 Å; angles 90.00, 90.00, 90.00 degrees
Fractional positions:
Ir 0.0000 0.0000 0.0574
Hg 0.5000 0.5000 0.7778
Ir 0.5000 0.5000 0.1880
Ca 0.0000 0.0000 0.4767

***

No. 10
# LiTl2Co

LiTl2Co after structural relaxation (PBEsol, Alexandria via LeMat-Bulk).

Computed properties:
SG: P4mm, No. 99
Energy of formation from the pure elements, eV/atom: 0.246
Spin magnetization, Bohr magnetons per cell: 1.05

Cell lengths 3.5416, 3.5416, 5.7690 Å; angles 90.00, 90.00, 90.00 degrees
Each line ends with the local moment (μB).
Fractional positions:
Tl 0.5000 0.5000 0.3068  -0.03
Co 0.0000 0.0000 0.4919  1.17
Tl 0.0000 0.0000 0.9573  -0.01
Li 0.5000 0.5000 0.7441  -0.01

***

No. 11
# MnAgCl2

MnAgCl2 after structural relaxation (PBEsol, Alexandria via LeMat-Bulk).

Computed properties:
SG: F-43m, No. 216
E_form (uncorrected), meV per atom: 219
Energy above the most stable polymorph in this dataset, meV per atom: 559
Spin magnetization, Bohr magnetons per cell: 4.32

Cell lengths 4.6852, 4.6852, 4.6852 Å; angles 60.00, 60.00, 60.00 degrees
Each line ends with the local moment (μB).
Fractional positions:
Cl 0.0000 0.0000 0.0000  0.02
Cl 0.7500 0.7500 0.7500  -0.01
Ag 0.5000 0.5000 0.5000  -0.04
Mn 0.2500 0.2500 0.2500  4.15

***

No. 12
# TlTeI2O

TlTeI2O after structural relaxation (PBEsol, Alexandria via LeMat-Bulk).

Computed properties:
SG: P4/mmm, No. 123
E_form (uncorrected), meV per atom: 174
Energy above the most stable polymorph in this dataset, meV per atom: 566
Spin magnetization, Bohr magnetons per cell: 0.00

Cell lengths 4.0051, 6.0424, 6.0424 Å; angles 90.00, 90.00, 90.00 degrees
Fractional positions:
I 0.0000 0.0000 0.5000
O 0.5000 0.0000 0.0000
Tl 0.0000 0.0000 0.0000
I 0.0000 0.5000 0.0000
Te 0.5000 0.5000 0.5000

***

No. 13
# CoTc8

CoTc8 after structural relaxation (PBEsol, Alexandria via LeMat-Bulk).

Computed properties:
SG: I4/mmm, No. 139
Energy of formation from the pure elements, eV/atom: 0.068
Spin magnetization, Bohr magnetons per cell: 0.00

Cell lengths 3.7819, 5.9879, 5.9879 Å; angles 84.28, 71.59, 71.59 degrees
Fractional positions:
Tc 0.3388 0.0000 0.3225
Tc 0.6612 0.0000 0.6775
Tc 0.0000 0.3264 0.6736
Tc 0.6736 0.3264 0.3264
Co 0.0000 0.0000 0.0000
Tc 0.3388 0.3225 0.0000
Tc 0.0000 0.6736 0.3264
Tc 0.3264 0.6736 0.6736
Tc 0.6612 0.6775 0.0000

***

No. 14
# Sc5Hg

Sc5Hg after structural relaxation (PBEsol, Alexandria via LeMat-Bulk).

Computed properties:
SG: P4/mmm, No. 123
Energy of formation from the pure elements, eV/atom: -0.147
Energy above the most stable polymorph in this dataset, meV per atom: 6
Spin magnetization, Bohr magnetons per cell: 0.00

Cell lengths 3.2456, 3.2456, 12.8890 Å; angles 90.00, 90.00, 90.00 degrees
Fractional positions:
Sc 0.5000 0.5000 0.1734
Sc 0.5000 0.5000 0.8266
Hg 0.5000 0.5000 0.5000
Sc 0.0000 0.0000 0.0000
Sc 0.0000 0.0000 0.6520
Sc 0.0000 0.0000 0.3480

***

No. 15
# TaSCl2

TaSCl2 after structural relaxation (PBEsol, Alexandria via LeMat-Bulk).

Computed properties:
SG: Fm-3m, No. 225
E_form (uncorrected), meV per atom: 191
Energy above the most stable polymorph in this dataset, meV per atom: 494
Spin magnetization, Bohr magnetons per cell: 0.00

Cell lengths 4.4325, 4.4325, 4.4325 Å; angles 60.00, 60.00, 60.00 degrees
Fractional positions:
S 0.0000 0.0000 0.0000
Cl 0.2500 0.2500 0.2500
Ta 0.5000 0.5000 0.5000
Cl 0.7500 0.7500 0.7500

***

No. 16
# Sr3TlPb

Sr3TlPb after structural relaxation (PBEsol, Alexandria via LeMat-Bulk).

Computed properties:
SG: Pm-3m, No. 221
Energy of formation from the pure elements, eV/atom: -0.065
Spin magnetization, Bohr magnetons per cell: 0.00

Cell lengths 6.2841, 6.2841, 6.2841 Å; angles 90.00, 90.00, 90.00 degrees
Fractional positions:
Sr 0.0000 0.0000 0.5000
Sr 0.0000 0.5000 0.0000
Pb 0.0000 0.0000 0.0000
Sr 0.5000 0.0000 0.0000
Tl 0.5000 0.5000 0.5000

***

No. 17
# Sr2ScNi

Sr2ScNi after structural relaxation (PBEsol, Alexandria via LeMat-Bulk).

Computed properties:
SG: P4/mmm, No. 123
Energy of formation from the pure elements, eV/atom: 0.480
Energy above the most stable polymorph in this dataset, meV per atom: 163
Spin magnetization, Bohr magnetons per cell: 0.00

Cell lengths 4.1464, 5.1667, 5.1583 Å; angles 90.00, 90.00, 90.00 degrees
Fractional positions:
Sc 0.5000 0.5000 0.0000
Sr 0.0000 0.0000 0.0000
Ni 0.5000 0.0000 0.5000
Sr 0.0000 0.5000 0.5000

***

No. 18
# KHgOs2

KHgOs2 after structural relaxation (PBEsol, Alexandria via LeMat-Bulk).

Computed properties:
SG: P4mm, No. 99
Energy of formation from the pure elements, eV/atom: 0.638
Spin magnetization, Bohr magnetons per cell: 0.27

Cell lengths 2.8794, 2.8794, 9.4177 Å; angles 90.00, 90.00, 90.00 degrees
Each line ends with the local moment (μB).
Fractional positions:
Hg 0.0000 0.0000 0.4544  0.00
Os 0.5000 0.5000 0.2202  0.04
K 0.5000 0.5000 0.7660  0.01
Os 0.0000 0.0000 0.0594  0.14

***

No. 19
# Ba2IrBr

Ba2IrBr after structural relaxation (PBEsol, Alexandria via LeMat-Bulk).

Computed properties:
SG: R-3m, No. 166
E_form (uncorrected), meV per atom: -780
Energy above the most stable polymorph in this dataset, meV per atom: 3
Spin magnetization, Bohr magnetons per cell: 0.00

Cell lengths 4.4998, 4.4998, 8.2201 Å; angles 74.11, 74.11, 60.00 degrees
Fractional positions:
Ba 0.2367 0.2367 0.2899
Ba 0.7633 0.7633 0.7101
Ir 0.5000 0.5000 0.5000
Br 0.0000 0.0000 0.0000

***

No. 20
# CoOs2Cl

CoOs2Cl after structural relaxation (PBEsol, Alexandria via LeMat-Bulk).

Computed properties:
SG: P4/mmm, No. 123
E_form (uncorrected), meV per atom: 855
Spin magnetization, Bohr magnetons per cell: 0.01

Cell lengths 2.9232, 2.9232, 6.4786 Å; angles 90.00, 90.00, 90.00 degrees
Fractional positions:
Cl 0.5000 0.5000 0.0000
Os 0.0000 0.0000 0.2987
Os 0.0000 0.0000 0.7013
Co 0.5000 0.5000 0.5000